First-principles (GGA-PBEsol) data for SrC3 after structural relaxation, as listed in the Alexandria database.

M_tot ... 0.00 Bohr magnetons per cell
Offset from the most stable computed form ... 1944 meV/atom
Calculated formation energy ... 3.19 eV per atom
DOS(E_F) ... 2.12 states/eV/f.u.

a = 4.1035 Å, b = 4.1035 Å, c = 4.1035 Å
α = 109.47°, β = 109.47°, γ = 109.47°
Fractional coordinates of all 4 atoms:
1 Sr 0.0000 0.0000 0.0000
2 C 0.0000 0.5000 0.5000
3 C 0.5000 0.0000 0.5000
4 C 0.5000 0.5000 0.0000